# 1
# ZrBe7

A relaxed ZrBe7 crystal (GGA-PBE, the Alexandria database).

Cell and atoms, written as CIF:
```
data_ZrBe7
_cell_length_a 7.107
_cell_length_b 7.107
_cell_length_c 7.107
_cell_angle_alpha 90.00
_cell_angle_beta 90.00
_cell_angle_gamma 90.00
_symmetry_space_group_name_H-M 'F m -3 m'
_symmetry_Int_Tables_number 225
_symmetry_space_group_name_Hall '-F 4 2 3'
loop_
_atom_site_label
_atom_site_type_symbol
_atom_site_fract_x
_atom_site_fract_y
_atom_site_fract_z
_atom_site_occupancy
Zr1 Zr 0.000 0.000 0.000 1
Be1 Be 0.000 0.000 0.500 1
Be2 Be 0.000 0.250 0.250 1
```

Output
total magnetization	0.5	μB per cell
ΔE_f	40.4	kJ per mole of atoms
VASP energy	-125.114	eV per cell
V	358.9	Å³ per cell

=====

# 2
# CsScGe2I8

A relaxed CsScGe2I8 crystal (GGA-PBE, the Alexandria database).

Cell and atoms, written as CIF:
```
data_CsScGe2I8
_cell_length_a 7.106
_cell_length_b 7.761
_cell_length_c 10.970
_cell_angle_alpha 94.62
_cell_angle_beta 92.84
_cell_angle_gamma 96.74
_symmetry_space_group_name_H-M 'P -1'
_symmetry_Int_Tables_number 2
loop_
_symmetry_equiv_pos_as_xyz
'x,y,z'
'-x,-y,-z'
loop_
_atom_site_label
_atom_site_type_symbol
_atom_site_fract_x
_atom_site_fract_y
_atom_site_fract_z
_atom_site_occupancy
Cs1 Cs 0.000 0.000 0.000 1
Sc1 Sc 0.000 0.000 0.500 1
Ge1 Ge 0.438 0.556 0.317 1
I1 I 0.218 0.697 0.494 1
I2 I 0.227 0.160 0.325 1
I3 I 0.250 0.594 0.105 1
I4 I 0.261 0.156 0.706 1
```

Output
total magnetization	0.0	μB per cell
VASP energy	-38.016	eV per cell
formation energy without anion corrections	-766	meV per atom
V	597.8	Å³ per cell

=====

# 3
# La2CdIrPd

A relaxed La2CdIrPd crystal (GGA-PBE, the Alexandria database).

Cell and atoms, written as CIF:
```
data_La2CdIrPd
_cell_length_a 5.447
_cell_length_b 5.447
_cell_length_c 5.157
_cell_angle_alpha 90.00
_cell_angle_beta 90.00
_cell_angle_gamma 90.00
_symmetry_space_group_name_H-M 'P 4/m m m'
_symmetry_Int_Tables_number 123
_symmetry_space_group_name_Hall '-P 4 2'
loop_
_atom_site_label
_atom_site_type_symbol
_atom_site_fract_x
_atom_site_fract_y
_atom_site_fract_z
_atom_site_occupancy
La1 La 0.000 0.500 0.000 1
Cd1 Cd 0.000 0.000 0.500 1
Ir1 Ir 0.000 0.000 0.000 1
Pd1 Pd 0.500 0.500 0.500 1
```

Output
total magnetization	0.0	μB per cell
ΔE_f	-29.0	kJ per mole of atoms
VASP energy	-26.327	eV per cell
V	153.0	Å³ per cell

=====

# 4
# AgAs2SeCl

A relaxed AgAs2SeCl crystal (GGA-PBE, the Alexandria database).

Cell and atoms, written as CIF:
```
data_AgAs2SeCl
_cell_length_a 5.138
_cell_length_b 5.138
_cell_length_c 4.987
_cell_angle_alpha 90.00
_cell_angle_beta 90.00
_cell_angle_gamma 90.00
_symmetry_space_group_name_H-M 'P 4/m m m'
_symmetry_Int_Tables_number 123
_symmetry_space_group_name_Hall '-P 4 2'
loop_
_atom_site_label
_atom_site_type_symbol
_atom_site_fract_x
_atom_site_fract_y
_atom_site_fract_z
_atom_site_occupancy
Ag1 Ag 0.000 0.000 0.000 1
As1 As 0.000 0.500 0.000 1
Se1 Se 0.000 0.000 0.500 1
Cl1 Cl 0.500 0.500 0.500 1
```

Output
total magnetization	0.8	μB per cell
energy above the lowest structure with this stoichiometry	0.000	eV/atom
VASP energy	-13.275	eV per cell
formation energy without anion corrections	841	meV per atom
V	131.7	Å³ per cell

=====

# 5
# Sr2HgW

A relaxed Sr2HgW crystal (GGA-PBE, the Alexandria database).

Cell and atoms, written as CIF:
```
data_Sr2HgW
_cell_length_a 3.402
_cell_length_b 5.628
_cell_length_c 11.991
_cell_angle_alpha 90.00
_cell_angle_beta 90.00
_cell_angle_gamma 90.00
_symmetry_space_group_name_H-M 'I m m 2'
_symmetry_Int_Tables_number 44
loop_
_symmetry_equiv_pos_as_xyz
'x,y,z'
'-x,-y,z'
'-x,y,z'
'x,-y,z'
'x+1/2,y+1/2,z+1/2'
'-x+1/2,-y+1/2,z+1/2'
'-x+1/2,y+1/2,z+1/2'
'x+1/2,-y+1/2,z+1/2'
loop_
_atom_site_label
_atom_site_type_symbol
_atom_site_fract_x
_atom_site_fract_y
_atom_site_fract_z
_atom_site_occupancy
Sr1 Sr 0.000 0.000 0.000 1
Sr2 Sr 0.000 0.500 0.197 1
Hg1 Hg 0.000 0.500 0.758 1
W1 W 0.000 0.000 0.444 1
```

Output
total magnetization	0.6	μB per cell
ΔE_f	68.1	kJ per mole of atoms
VASP energy	-27.593	eV per cell
V	229.6	Å³ per cell

=====

# 6
# CrSbIr2

A relaxed CrSbIr2 crystal (GGA-PBE, the Alexandria database).

Cell and atoms, written as CIF:
```
data_CrSbIr2
_cell_length_a 8.836
_cell_length_b 3.003
_cell_length_c 4.893
_cell_angle_alpha 90.00
_cell_angle_beta 100.53
_cell_angle_gamma 90.00
_symmetry_space_group_name_H-M 'C 1 2/m 1'
_symmetry_Int_Tables_number 12
loop_
_symmetry_equiv_pos_as_xyz
'x,y,z'
'-x,-y,-z'
'-x,y,-z'
'x,-y,z'
'x+1/2,y+1/2,z'
'-x+1/2,-y+1/2,-z'
'-x+1/2,y+1/2,-z'
'x+1/2,-y+1/2,z'
loop_
_atom_site_label
_atom_site_type_symbol
_atom_site_fract_x
_atom_site_fract_y
_atom_site_fract_z
_atom_site_occupancy
Cr1 Cr 0.000 0.000 0.000 1
Sb1 Sb 0.000 0.500 0.500 1
Ir1 Ir 0.242 0.500 0.228 1
```

Output
total magnetization	4.7	μB per cell
VASP energy	-62.099	eV per cell
formation energy without anion corrections	105	meV per atom
V	127.6	Å³ per cell